[1]
8
Lattice="-3.077 -1.898 -0.009 1.245 -2.006 -2.738 2.807 -8.016 4.764" Properties=species:S:1:pos:R:3 comment="CdFe2Cu (PBE, optimized geometry)" e_form_ev_per_atom=0.60 e_tot_ev_per_atom=-4.89 space_group="I-42d, No. 122" pbc="T T T"
Cu -0.916 -1.952 -1.373
Fe -1.005 -3.404 0.843
Fe 0.478 -9.389 1.223
Cd -0.593 -5.933 1.691
Fe 1.443 -7.515 2.489
Fe 1.035 -3.532 -0.521
Cu 1.568 -5.987 0.327
Cd 0.000 0.000 0.000


[2]
8
Lattice="10.041 0.000 0.000 0.000 10.041 0.000 5.020 5.020 2.875" Properties=species:S:1:pos:R:3 comment="CrCdI2 (PBE, optimized geometry)" e_tot_ev_per_atom=-3.43 space_group="I-42d, No. 122" raw_formation_energy_ev_per_atom=-0.022 relative_energy_ev_per_atom=0.0000 pbc="T T T"
I 7.530 9.044 2.156
Cr 5.020 10.041 1.438
I 4.024 7.530 0.719
I 12.551 11.037 2.156
Cd 0.000 0.000 0.000
I 6.017 2.510 0.719
Cr 5.020 5.020 0.000
Cd 10.041 5.020 1.438


[3]
6
Lattice="5.433 0.000 0.000 2.716 4.705 0.000 2.716 1.568 4.436" Properties=species:S:1:pos:R:3 comment="Li4PuAl (PBE, optimized geometry)" e_form_ev_per_atom=0.11 e_tot_ev_per_atom=-4.17 space_group="F-43m, No. 216" pbc="T T T"
Li 4.053 3.934 2.782
Pu 2.716 1.568 1.109
Li 6.813 3.934 2.782
Li 5.433 3.137 0.527
Al 0.000 0.000 0.000
Li 5.433 1.543 2.782


[4]
4
Lattice="3.494 0.000 0.000 0.000 3.494 0.000 0.000 0.000 6.720" Properties=species:S:1:pos:R:3 comment="Lu2VCu (PBE, optimized geometry)" e_form_ev_per_atom=0.04 e_tot_ev_per_atom=-5.53 space_group="P4/mmm, No. 123" relative_energy_ev_per_atom=0.0000 pbc="T T T"
Lu 0.000 0.000 5.061
Cu 1.747 1.747 0.000
V 1.747 1.747 3.360
Lu 0.000 0.000 1.659


[5]
11
Lattice="-4.581 0.214 3.808 2.392 -4.475 3.129 6.548 9.349 2.687" Properties=species:S:1:pos:R:3 comment="Ce3Pm2Sn6 (PBE, optimized geometry)" e_form_ev_per_atom=-0.18 e_tot_ev_per_atom=-4.85 space_group="I4/mmm, No. 139" pbc="T T T"
Ce 2.798 3.023 7.862
Pm -0.258 -1.022 4.413
Sn 1.960 -1.225 2.428
Sn 5.884 3.969 6.857
Ce 0.000 0.000 0.000
Sn 2.398 6.314 7.196
Sn 3.113 4.121 3.514
Sn -1.526 1.119 2.767
Sn 1.246 0.968 6.110
Pm 4.616 6.111 5.211
Ce 1.561 2.066 1.762


[6]
6
Lattice="-0.401 -2.046 2.781 2.611 -2.974 -1.811 3.879 4.316 3.736" Properties=species:S:1:pos:R:3 comment="MgSn2Rh3 (PBE, optimized geometry)" e_form_ev_per_atom=-0.54 e_tot_ev_per_atom=-5.81 space_group="Cmmm, No. 65" relative_energy_ev_per_atom=0.0000 pbc="T T T"
Mg 0.000 0.000 0.000
Rh 1.105 -2.510 0.485
Rh 4.510 -0.652 2.343
Sn 2.560 -2.629 2.779
Rh 1.579 -0.052 2.362
Sn 3.529 1.926 1.926


[7]
12
Lattice="-1.970 -0.263 5.671 5.137 -0.369 3.096 -1.291 8.383 -3.908" Properties=species:S:1:pos:R:3 comment="Th2Al3Cd (PBE, optimized geometry)" e_form_ev_per_atom=-0.35 e_tot_ev_per_atom=-4.84 space_group="Fmmm, No. 69" relative_energy_ev_per_atom=0.0000 pbc="T T T"
Cd 0.195 5.379 0.317
Al -0.559 6.905 -1.828
Th -0.203 -0.289 5.031
Cd 1.682 2.372 4.542
Th 3.370 -0.343 3.736
Al 0.096 2.654 0.157
Al 0.828 1.167 2.236
Al 1.781 5.097 4.703
Th 2.715 3.849 1.786
Th -0.838 3.902 3.074
Al 2.436 0.846 6.688
Al 1.049 6.584 2.624


[8]
10
Lattice="-3.553 -3.652 -1.924 3.817 2.077 -3.282 5.073 -2.991 4.006" Properties=species:S:1:pos:R:3 comment="PrAl6Fe3 (PBE, optimized geometry)" e_form_ev_per_atom=-0.21 e_tot_ev_per_atom=-5.47 space_group="R3m, No. 160" pbc="T T T"
Fe 6.227 -2.577 1.093
Al 1.163 -2.017 -2.180
Fe 1.522 -1.813 0.623
Al 3.861 -2.156 0.845
Al -0.742 -3.054 -0.541
Pr 5.182 -4.380 -1.264
Al 2.942 -0.189 -1.215
Al 5.751 -1.127 -0.780
Fe 3.787 -4.507 1.551
Al 2.068 -4.000 -0.127


[9]
12
Lattice="5.044 -0.024 -0.003 0.009 5.038 -0.005 0.004 0.008 7.121" Properties=species:S:1:pos:R:3 comment="AcHo2PtO8 (PBE, optimized geometry)" e_tot_ev_per_atom=-7.09 space_group="Cmmm, No. 65" raw_formation_energy_ev_per_atom=-2.171 pbc="T T T"
O 4.097 0.936 1.434
Ac 0.002 0.004 3.561
O 4.099 0.940 5.680
O 3.395 3.375 3.555
Ho 2.530 2.513 5.429
O 3.640 3.617 -0.006
O 1.417 1.405 7.119
Pt 0.000 0.000 0.000
O 0.960 4.085 5.678
O 1.662 1.647 3.558
Ho 2.527 2.509 1.683
O 0.958 4.081 1.433


[10]
12
Lattice="3.447 0.000 0.000 0.000 6.420 0.000 0.000 0.000 10.493" Properties=species:S:1:pos:R:3 comment="Sm3GeO2 (PBE, optimized geometry)" e_tot_ev_per_atom=-6.80 space_group="Pmc2_1, No. 26" raw_formation_energy_ev_per_atom=-2.019 pbc="T T T"
Sm 0.000 1.697 4.191
O 1.724 0.094 5.275
O 0.000 3.280 7.967
Sm 1.724 4.907 3.332
Ge 0.000 0.088 9.008
Sm 1.724 4.066 9.506
O 1.724 3.304 5.218
Sm 0.000 4.907 6.301
Sm 1.724 1.697 7.161
Ge 0.000 3.298 1.485
Sm 1.724 0.857 0.987
O 0.000 0.070 2.526


[11]
15
Lattice="-3.756 -7.282 5.832 1.213 -9.642 -2.588 4.391 -5.826 4.225" Properties=species:S:1:pos:R:3 comment="Pr8Nd6Y (PBE, optimized geometry)" e_form_ev_per_atom=0.15 e_tot_ev_per_atom=-4.74 space_group="R-3, No. 148" relative_energy_ev_per_atom=0.0000 pbc="T T T"
Pr -0.420 -11.328 2.928
Pr -0.579 -9.295 6.482
Nd 0.155 -3.474 -0.145
Nd 3.921 -17.375 4.013
Pr 2.754 -9.709 0.904
Pr 1.091 -7.623 3.556
Pr 2.269 -11.423 4.541
Nd -2.072 -5.376 3.456
Nd -0.205 -8.090 0.185
Pr 0.758 -15.127 3.913
Nd 2.054 -14.661 7.283
Pr 2.427 -13.455 0.987
Pr -0.905 -13.042 6.565
Y 0.000 0.000 0.000
Nd 1.693 -19.277 7.614


[12]
9
Lattice="4.154 0.000 1.036 1.576 6.920 2.527 0.000 -0.423 8.850" Properties=species:S:1:pos:R:3 comment="Th4Bi3C2 (PBE, optimized geometry)" e_form_ev_per_atom=-0.46 e_tot_ev_per_atom=-7.10 space_group="C2/m, No. 12" relative_energy_ev_per_atom=0.0255 pbc="T T T"
Th 0.767 0.859 5.771
Th 4.963 5.639 6.642
Bi 0.000 0.000 0.000
C 1.312 0.001 3.587
C 4.418 6.496 8.826
Bi 2.446 3.144 7.890
Bi 3.285 3.354 4.524
Th 4.063 4.800 10.253
Th 1.668 1.698 2.160